Here is a relaxed Li3AcCr4O12 crystal from Alexandria. Energies are from GGA+U.

VASP energy = -6.726 eV per atom
magnetization = 6.00 μB per formula unit

a b c (Å): 7.4370 7.4370 7.4370
angles (deg): 90.00 90.00 90.00
Space group Im-3 (No. 204)
Inequivalent atoms, fractional coordinates:
Li 0.0000 0.0000 0.5000 [6 per cell]
Ac 0.0000 0.0000 0.0000 [2 per cell]
Cr 0.2500 0.2500 0.2500 [8 per cell]
O 0.0000 0.2964 0.1891 [24 per cell]